1.
# CsTl2TeMo

CsTl2TeMo after structural relaxation (PBE, the Alexandria database).

Values from the calculation:
**Total energy**: -3.867 eV/atom
**Formation energy from raw total energies**: 0.226 eV/f.u.
**Fermi-level density of states**: 2.06 states/eV/cell

The structure in POSCAR format:
```
CsTl2TeMo
1.0
-1.622 -2.658 -4.653
-0.099 -4.611 2.669
-5.358 0.899 1.354
Cs Tl Te Mo
1 2 1 1
direct
0.500 0.500 0.500
0.000 0.000 0.500
0.500 0.000 0.000
0.000 0.500 0.000
0.000 0.000 0.000
```


2.
# CsTiMo3

CsTiMo3 after structural relaxation (PBE, the Alexandria database).

Values from the calculation:
**Total energy**: -5.156 eV/atom
**Offset from the most stable computed form**: 1045 meV per atom
**Fermi-level density of states**: 8.09 states/eV/cell
**Formation energy from the elements**: 3092 meV/atom

The structure in POSCAR format:
```
CsTiMo3
1.0
-1.839 -1.341 4.313
1.286 -4.620 -0.888
4.330 0.802 2.096
Cs Mo Ti
1 3 1
direct
0.000 0.000 0.000
0.000 0.500 0.000
0.000 0.000 0.500
0.500 0.000 0.000
0.500 0.500 0.500
```


3.
# CsTiMo3

CsTiMo3 after structural relaxation (PBE, the Alexandria database).

Values from the calculation:
**Total energy**: -6.202 eV/atom
**Offset from the most stable computed form**: 0 meV per atom
**Fermi-level density of states**: 10.21 states/eV/cell
**Formation energy from the elements**: 2047 meV/atom

The structure in POSCAR format:
```
CsTiMo3
1.0
-2.046 -0.157 -4.453
3.296 -3.349 -1.397
-2.998 -3.577 1.503
Cs Mo Ti
1 3 1
direct
0.500 0.500 0.500
0.000 0.500 0.000
0.000 0.000 0.500
0.500 0.000 0.000
0.000 0.000 0.000
```


4.
# CsTiMo2

CsTiMo2 after structural relaxation (PBE, the Alexandria database).

Values from the calculation:
**Total energy**: -5.840 eV/atom
**Offset from the most stable computed form**: 64 meV per atom
**Fermi-level density of states**: 10.56 states/eV/cell
**Formation energy from the elements**: 1762 meV/atom

The structure in POSCAR format:
```
CsTiMo2
1.0
4.830 0.000 0.000
0.000 4.830 0.000
2.415 2.415 9.135
Cs Mo Ti
2 4 2
direct
0.000 0.000 0.000
0.750 0.250 0.500
0.299 0.125 0.250
0.451 0.625 0.250
0.375 0.701 0.750
0.875 0.549 0.750
0.500 0.500 0.000
0.250 0.750 0.500
```


5.
# CsTiMo2

CsTiMo2 after structural relaxation (PBE, the Alexandria database).

Values from the calculation:
**Total energy**: -5.905 eV/atom
**Offset from the most stable computed form**: 0 meV per atom
**Fermi-level density of states**: 5.69 states/eV/cell
**Formation energy from the elements**: 1698 meV/atom

The structure in POSCAR format:
```
CsTiMo2
1.0
0.000 3.361 3.361
3.361 0.000 3.361
3.361 3.361 0.000
Cs Mo Ti
1 2 1
direct
0.500 0.500 0.500
0.250 0.250 0.250
0.750 0.750 0.750
0.000 0.000 0.000
```


6.
# CsTi2TlMo

CsTi2TlMo after structural relaxation (PBE, the Alexandria database).

Values from the calculation:
**Total energy**: -4.758 eV/atom
**Fermi-level density of states**: 7.44 states/eV/cell
**Formation energy from the elements**: 1210 meV/atom

The structure in POSCAR format:
```
CsTi2TlMo
1.0
4.889 0.000 0.000
0.000 6.238 0.000
0.000 0.000 4.889
Cs Tl Mo Ti
1 1 1 2
direct
0.000 0.500 0.000
0.500 0.500 0.500
0.000 0.000 0.000
0.000 0.000 0.500
0.500 0.000 0.000
```


7.
# Cs2TiMoW

Cs2TiMoW after structural relaxation (PBE, the Alexandria database).

Values from the calculation:
**Total energy**: -4.271 eV/atom
**Fermi-level density of states**: 4.95 states/eV/cell
**Formation energy from the elements**: 2406 meV/atom

The structure in POSCAR format:
```
Cs2TiMoW
1.0
-4.220 1.805 5.081
0.192 -4.217 1.657
5.384 1.758 3.848
Cs Mo W Ti
2 1 1 1
direct
0.000 0.000 0.500
0.500 0.000 0.000
0.000 0.000 0.000
0.500 0.500 0.500
0.000 0.500 0.000
```


8.
# CsTl3Mo

CsTl3Mo after structural relaxation (PBE, the Alexandria database).

Values from the calculation:
**Total energy**: -3.469 eV/atom
**Fermi-level density of states**: 2.51 states/eV/cell
**Formation energy from the elements**: 288 meV/atom

The structure in POSCAR format:
```
CsTl3Mo
1.0
5.512 0.000 0.000
0.000 5.512 0.000
0.000 0.000 5.512
Cs Tl Mo
1 3 1
direct
0.500 0.500 0.500
0.000 0.500 0.000
0.000 0.000 0.500
0.500 0.000 0.000
0.000 0.000 0.000
```